# BeIn2Os PBE optimized geometry
# * space group: No. 122
# * calculated volume: 144 Å³/cell
# * energy of formation from the pure elements: 924 meV per atom
# * total energy: -0.154 Ha/atom
# * D(E_F): 4.12 states/eV/f.u.
data_BeIn2Os
_cell_length_a 7.353
_cell_length_b 7.353
_cell_length_c 5.838
_cell_angle_alpha 50.97
_cell_angle_beta 50.97
_cell_angle_gamma 90.00
_space_group_name_H-M_alt 'P 1'
_space_group_IT_number 1
loop_
_space_group_symop_operation_xyz
'x,y,z'
loop_
_atom_site_label
_atom_site_fract_x
_atom_site_fract_y
_atom_site_fract_z
Os1 0.750 0.250 0.500
Os2 0.000 0.000 0.000
Be1 0.250 0.750 0.500
Be2 0.500 0.500 0.000
In1 0.153 0.625 0.250
In2 0.875 0.847 0.750
In3 0.375 0.403 0.750
In4 0.597 0.125 0.250

# Sr3Sb4Pd2 PBE optimized geometry
# * space group: No. 12
# * calculated volume: 252 Å³/cell
# * total energy: -0.160 Ha/atom
# * D(E_F): 3.69 states/eV/f.u.
data_Sr3Sb4Pd2
_cell_length_a 4.747
_cell_length_b 6.458
_cell_length_c 9.088
_cell_angle_alpha 102.37
_cell_angle_beta 90.00
_cell_angle_gamma 111.56
_space_group_name_H-M_alt 'P 1'
_space_group_IT_number 1
loop_
_space_group_symop_operation_xyz
'x,y,z'
loop_
_atom_site_label
_atom_site_fract_x
_atom_site_fract_y
_atom_site_fract_z
Sr1 0.381 0.762 0.303
Sr2 0.000 0.000 0.000
Sr3 0.619 0.238 0.697
Sb1 0.909 0.818 0.607
Sb2 0.091 0.182 0.393
Sb3 0.292 0.583 0.911
Sb4 0.708 0.417 0.089
Pd1 0.705 0.410 0.393
Pd2 0.295 0.590 0.607

# Pm2Sm3Tl6 PBE optimized geometry
# * space group: No. 139
# * calculated volume: 407 Å³/cell
# * energy of formation from the pure elements: 86 meV per atom
# * total energy: -0.123 Ha/atom
# * D(E_F): 14.09 states/eV/f.u.
data_Pm2Sm3Tl6
_cell_length_a 5.988
_cell_length_b 5.988
_cell_length_c 12.115
_cell_angle_alpha 104.31
_cell_angle_beta 104.31
_cell_angle_gamma 90.00
_space_group_name_H-M_alt 'P 1'
_space_group_IT_number 1
loop_
_space_group_symop_operation_xyz
'x,y,z'
loop_
_atom_site_label
_atom_site_fract_x
_atom_site_fract_y
_atom_site_fract_z
Sm1 0.857 0.857 0.714
Sm2 0.143 0.143 0.286
Sm3 0.000 0.000 0.000
Tl1 0.282 0.282 0.564
Tl2 0.429 0.929 0.857
Tl3 0.718 0.718 0.436
Tl4 0.071 0.571 0.143
Tl5 0.929 0.429 0.857
Tl6 0.571 0.071 0.143
Pm1 0.578 0.578 0.157
Pm2 0.422 0.422 0.843

# Ba2BiBr8 PBE optimized geometry
# * space group: No. 12
# * calculated volume: 386 Å³/cell
# * total energy: -0.120 Ha/atom
# * D(E_F): 3.72 states/eV/f.u.
data_Ba2BiBr8
_cell_length_a 5.134
_cell_length_b 6.622
_cell_length_c 12.058
_cell_angle_alpha 105.13
_cell_angle_beta 102.29
_cell_angle_gamma 90.00
_space_group_name_H-M_alt 'P 1'
_space_group_IT_number 1
loop_
_space_group_symop_operation_xyz
'x,y,z'
loop_
_atom_site_label
_atom_site_fract_x
_atom_site_fract_y
_atom_site_fract_z
Br1 0.232 0.234 0.463
Br2 0.998 0.248 0.996
Br3 0.386 0.124 0.771
Br4 0.389 0.633 0.779
Br5 0.611 0.367 0.221
Br6 0.614 0.876 0.229
Br7 0.768 0.766 0.537
Br8 0.002 0.752 0.004
Bi1 0.500 0.000 0.000
Ba1 0.175 0.676 0.350
Ba2 0.825 0.324 0.650

# TaZnInPb2 PBE optimized geometry
# * space group: No. 123
# * calculated volume: 173 Å³/cell
# * energy of formation from the pure elements: 1119 meV per atom
# * total energy: -0.130 Ha/atom
# * D(E_F): 5.61 states/eV/f.u.
data_TaZnInPb2
_cell_length_a 5.518
_cell_length_b 5.695
_cell_length_c 5.518
_cell_angle_alpha 90.00
_cell_angle_beta 90.00
_cell_angle_gamma 90.00
_space_group_name_H-M_alt 'P 1'
_space_group_IT_number 1
loop_
_space_group_symop_operation_xyz
'x,y,z'
loop_
_atom_site_label
_atom_site_fract_x
_atom_site_fract_y
_atom_site_fract_z
Pb1 0.000 0.000 0.500
Pb2 0.500 0.000 0.000
Zn1 0.000 0.000 0.000
Ta1 0.000 0.500 0.000
In1 0.500 0.500 0.500

# TmGaRuRh PBE optimized geometry
# * space group: No. 47
# * calculated volume: 65 Å³/cell
# * energy of formation from the pure elements: -637 meV per atom
# * total energy: -0.245 Ha/atom
# * D(E_F): 2.25 states/eV/f.u.
data_TmGaRuRh
_cell_length_a 3.361
_cell_length_b 4.334
_cell_length_c 4.473
_cell_angle_alpha 90.00
_cell_angle_beta 90.00
_cell_angle_gamma 90.00
_space_group_name_H-M_alt 'P 1'
_space_group_IT_number 1
loop_
_space_group_symop_operation_xyz
'x,y,z'
loop_
_atom_site_label
_atom_site_fract_x
_atom_site_fract_y
_atom_site_fract_z
Rh1 0.000 0.500 0.500
Ga1 0.500 0.500 0.000
Tm1 0.500 0.000 0.500
Ru1 0.000 0.000 0.000

# BiAs2Pt2 PBE optimized geometry
# * space group: No. 139
# * calculated volume: 102 Å³/cell
# * energy of formation from the pure elements: -140 meV per atom
# * total energy: -0.191 Ha/atom
# * D(E_F): 2.78 states/eV/f.u.
data_BiAs2Pt2
_cell_length_a 4.187
_cell_length_b 4.187
_cell_length_c 6.506
_cell_angle_alpha 71.23
_cell_angle_beta 71.23
_cell_angle_gamma 90.00
_space_group_name_H-M_alt 'P 1'
_space_group_IT_number 1
loop_
_space_group_symop_operation_xyz
'x,y,z'
loop_
_atom_site_label
_atom_site_fract_x
_atom_site_fract_y
_atom_site_fract_z
As1 0.750 0.250 0.500
As2 0.250 0.750 0.500
Bi1 0.000 0.000 0.000
Pt1 0.383 0.383 0.234
Pt2 0.617 0.617 0.766

# AlTlO2 PBE optimized geometry
# * space group: No. 5
# * calculated volume: 123 Å³/cell
# * total energy: -0.225 Ha/atom
# * D(E_F): 0.00 states/eV/f.u.
data_AlTlO2
_cell_length_a 5.486
_cell_length_b 5.483
_cell_length_c 5.686
_cell_angle_alpha 61.17
_cell_angle_beta 89.97
_cell_angle_gamma 119.97
_space_group_name_H-M_alt 'P 1'
_space_group_IT_number 1
loop_
_space_group_symop_operation_xyz
'x,y,z'
loop_
_atom_site_label
_atom_site_fract_x
_atom_site_fract_y
_atom_site_fract_z
O1 0.960 0.796 0.294
O2 0.855 0.189 0.792
O3 0.751 0.193 0.291
O4 0.356 0.586 0.293
Tl1 0.233 0.945 0.662
Tl2 0.479 0.438 0.923
Al1 0.981 0.441 0.417
Al2 0.731 0.941 0.168

Please write out number 8 again, unchanged.
# AlTlO2 PBE optimized geometry
# * space group: No. 5
# * calculated volume: 123 Å³/cell
# * total energy: -0.225 Ha/atom
# * D(E_F): 0.00 states/eV/f.u.
data_AlTlO2
_cell_length_a 5.486
_cell_length_b 5.483
_cell_length_c 5.686
_cell_angle_alpha 61.17
_cell_angle_beta 89.97
_cell_angle_gamma 119.97
_space_group_name_H-M_alt 'P 1'
_space_group_IT_number 1
loop_
_space_group_symop_operation_xyz
'x,y,z'
loop_
_atom_site_label
_atom_site_fract_x
_atom_site_fract_y
_atom_site_fract_z
O1 0.960 0.796 0.294
O2 0.855 0.189 0.792
O3 0.751 0.193 0.291
O4 0.356 0.586 0.293
Tl1 0.233 0.945 0.662
Tl2 0.479 0.438 0.923
Al1 0.981 0.441 0.417
Al2 0.731 0.941 0.168